VASP calculation (PBE) on MnAl2Br after structural relaxation.

Results
E_form (uncorrected): 115 meV/atom
SG: R3m (160)
energy above the most stable polymorph in this dataset: 0.29 eV per formula unit
final energy: -4.47 eV per atom

The structure in POSCAR format:
```
MnAl2Br
1.0
9.733 -0.043 -0.025
9.219 3.121 -0.025
9.219 1.497 2.738
Mn Al Br
1 2 1
Cartesian
21.015 3.412 2.005
0.336 0.055 0.032
7.545 1.225 0.720
13.361 2.169 1.275
```

VASP calculation (PBE) on Ca2RhAu2 after structural relaxation.

Results
SG: P4/mbm (127)
formation energy from the elements: -500 meV per atom
final energy: -4.08 eV per atom

The structure in POSCAR format:
```
Ca2RhAu2
1.0
7.254 0.000 0.000
0.000 7.254 0.000
0.000 0.000 4.287
Rh Ca Au
2 4 4
Cartesian
0.000 0.000 0.000
3.627 3.627 0.000
1.273 4.900 2.144
4.900 5.981 2.144
5.981 2.354 2.144
2.354 1.273 2.144
2.630 6.257 0.000
6.257 4.623 0.000
4.623 0.996 0.000
0.996 2.630 0.000
```

VASP calculation (PBE) on Sn2AsPb2 after structural relaxation.

Results
SG: P4/mbm (127)
energy above the most stable polymorph in this dataset: 0.00 eV per formula unit
formation energy from the elements: 158 meV per atom
final energy: -3.86 eV per atom

The structure in POSCAR format:
```
Sn2AsPb2
1.0
-6.176 -2.814 -3.187
-1.131 -4.330 6.015
-2.845 3.773 2.182
Pb As Sn
4 2 4
Cartesian
-3.269 -1.531 4.594
-6.526 -3.585 3.899
-6.883 -1.840 0.416
-3.626 0.214 1.111
0.000 0.000 0.000
-3.653 -3.572 1.414
-3.183 -4.725 4.021
-6.026 -5.194 1.125
-4.123 -2.420 -1.193
-1.280 -1.950 1.703
```

VASP calculation (PBE) on RbGe2IrSe after structural relaxation.

Results
E_form (uncorrected): 664 meV/atom
SG: P4/mmm (123)
final energy: -3.85 eV per atom

The structure in POSCAR format:
```
RbGe2IrSe
1.0
-2.433 3.919 -2.846
2.431 -1.219 -3.758
-3.923 -3.462 -1.414
Ge Ir Se Rb
2 1 1 1
Cartesian
-1.962 -1.731 -0.707
-1.216 1.960 -1.423
1.216 -0.610 -1.879
0.000 0.000 0.000
-1.962 -0.381 -4.009
```

VASP calculation (PBE) on InBi2Te2Pd7 after structural relaxation.

Results
E_form (uncorrected): -320 meV/atom
SG: I4/mmm (139)
final energy: -4.75 eV per atom

The structure in POSCAR format:
```
InBi2Te2Pd7
1.0
4.010 -0.002 0.024
0.003 4.010 0.024
1.918 1.915 16.249
In Bi Te Pd
1 2 2 7
Cartesian
0.000 0.000 0.000
3.946 3.941 12.360
1.984 1.982 3.937
3.976 3.971 6.904
1.955 1.952 9.393
2.006 2.004 0.024
1.970 1.968 6.689
3.961 3.956 9.608
4.000 1.992 2.089
1.997 3.998 2.089
3.934 1.925 14.208
1.930 3.932 14.208
```

VASP calculation (PBE) on V2Sb2C after structural relaxation.

Results
E_form (uncorrected): 1267 meV/atom
SG: I4/mmm (139)
energy above the most stable polymorph in this dataset: 0.41 eV per formula unit
final energy: -5.87 eV per atom

The structure in POSCAR format:
```
V2Sb2C
1.0
3.330 0.000 0.000
0.000 3.330 0.000
1.665 1.665 7.838
Sb C V
2 1 2
Cartesian
1.665 1.665 1.515
3.330 3.330 6.323
0.000 0.000 0.000
3.330 1.665 3.919
1.665 3.330 3.919
```

Number 1: D(E_F) 0.60 states/eV per atom, magnetic moment 3.827 μB per formula unit. Number 2: D(E_F) 0.61 states/eV per atom, magnetic moment 0.000 μB per formula unit. Number 3: D(E_F) 0.88 states/eV per atom, magnetic moment 0.000 μB per formula unit. Number 4: D(E_F) 0.51 states/eV per atom, magnetic moment 0.000 μB per formula unit. Number 5: D(E_F) 0.53 states/eV per atom, magnetic moment 0.000 μB per formula unit. Number 6: D(E_F) 0.93 states/eV per atom, magnetic moment 0.000 μB per formula unit.